Compound: Co2NiAg
Source: the Alexandria database
Functional: PBEsol
Structure: relaxed

The calculation puts the total magnetization at 3.84 μB/f.u. The energy of formation from the pure elements comes out at 1.84 eV per formula unit. The final energy is -5.78 eV per atom. The relative energy among the computed polymorphs is 260 meV per atom.

It has space group Fm-3m (No. 225), with a = 5.785 Å, b = 5.785 Å, c = 5.785 Å, α = 90.00°, β = 90.00° and γ = 90.00°. The distinct sites, in fractional coordinates, are Co at (0.250, 0.250, 0.250), Ni at (0.000, 0.000, 0.000) and Ag at (0.000, 0.000, 0.500).